Entry 1:
Sc2P: relaxed, PBE-GGA.

POSCAR file:
```
Sc2P
1.0
-11.386 -10.272 -0.462
-9.135 -11.519 4.385
8.592 12.689 -0.725
Sc P
8 4
Direct
0.754 0.754 0.000
0.246 0.246 0.000
0.004 0.504 0.500
0.496 0.996 0.500
0.585 0.585 0.000
0.415 0.415 0.000
0.835 0.335 0.500
0.665 0.165 0.500
0.933 0.933 0.000
0.067 0.067 0.000
0.183 0.683 0.500
0.317 0.817 0.500
```



Entry 2:
Sc3P: relaxed, PBE-GGA.

POSCAR file:
```
Sc3P
1.0
3.589 -4.437 0.000
3.589 4.437 0.000
0.000 0.000 5.287
Sc P
6 2
Direct
0.243 0.243 0.750
0.757 0.757 0.250
0.082 0.693 0.750
0.918 0.307 0.250
0.693 0.082 0.750
0.307 0.918 0.250
0.390 0.390 0.250
0.610 0.610 0.750
```



Entry 3:
Sc3P: relaxed, PBE-GGA.

POSCAR file:
```
Sc3P
1.0
-0.915 -1.936 -2.907
3.485 -2.261 0.409
-2.636 -3.492 3.155
Sc P
3 1
Direct
0.500 0.000 0.452
0.500 0.500 0.887
0.000 0.500 0.317
0.000 0.000 0.011
```



Entry 4:
Sc2P: relaxed, PBE-GGA.

POSCAR file:
```
Sc2P
1.0
1.817 5.130 0.012
-1.817 5.130 0.012
0.000 3.703 6.301
Sc P
4 2
Direct
0.840 0.840 0.565
0.582 0.582 0.131
0.418 0.418 0.869
0.160 0.160 0.435
0.155 0.155 0.812
0.845 0.845 0.188
```



Entry 5:
Sc3P: relaxed, PBE-GGA.

POSCAR file:
```
Sc3P
1.0
-3.311 -7.584 2.912
-1.066 -6.737 5.517
-4.320 -5.339 5.459
Sc P
3 1
Direct
0.727 0.727 0.727
0.500 0.500 0.500
0.273 0.273 0.273
0.000 0.000 0.000
```



Entry 6:
Sc2P: relaxed, PBE-GGA.

POSCAR file:
```
Sc2P
1.0
1.874 -7.120 0.000
1.874 7.120 0.000
0.000 0.000 4.147
Sc P
4 2
Direct
0.926 0.074 0.750
0.252 0.748 0.750
0.748 0.252 0.250
0.074 0.926 0.250
0.607 0.393 0.750
0.393 0.607 0.250
```



Entry 7:
ScP2: relaxed, PBE-GGA.

POSCAR file:
```
ScP2
1.0
1.723 4.660 -0.018
-1.723 4.660 -0.018
0.000 1.825 7.010
Sc P
2 4
Direct
0.668 0.668 0.328
0.332 0.332 0.672
0.054 0.054 0.622
0.320 0.320 0.039
0.680 0.680 0.961
0.946 0.946 0.378
```



Entry 8:
Sc2P: relaxed, PBE-GGA.

POSCAR file:
```
Sc2P
1.0
1.818 -6.983 0.000
1.818 6.983 0.000
0.000 0.000 5.256
Sc P
4 2
Direct
0.179 0.821 0.750
0.438 0.562 0.750
0.562 0.438 0.250
0.821 0.179 0.250
0.812 0.188 0.750
0.188 0.812 0.250
```



Entry 9:
ScP3: relaxed, PBE-GGA.

POSCAR file:
```
ScP3
1.0
-2.612 2.845 3.864
3.403 -4.035 1.409
7.665 6.582 0.335
Sc P
4 12
Direct
0.000 0.000 0.000
0.000 0.000 0.500
0.333 0.667 0.250
0.667 0.333 0.750
0.500 0.000 0.000
0.500 0.000 0.500
0.000 0.500 0.000
0.500 0.500 0.000
0.500 0.500 0.500
0.000 0.500 0.500
0.857 0.713 0.250
0.143 0.287 0.750
0.287 0.143 0.250
0.857 0.143 0.250
0.143 0.857 0.750
0.713 0.857 0.750
```



Entry 10:
ScP2: relaxed, PBE-GGA.

POSCAR file:
```
ScP2
1.0
0.558 -0.499 -5.037
2.087 -3.892 -2.535
-3.892 -2.735 -1.331
Sc P
2 4
Direct
0.986 0.986 0.465
0.741 0.741 0.091
0.091 0.091 0.909
0.630 0.630 0.648
0.360 0.360 0.291
0.359 0.359 0.763
```



Entry 11:
Sc2P: relaxed, PBE-GGA.

POSCAR file:
```
Sc2P
1.0
0.000 3.894 3.894
3.894 0.000 3.894
3.894 3.894 0.000
Sc P
4 2
Direct
0.625 0.125 0.125
0.125 0.625 0.125
0.125 0.125 0.625
0.125 0.125 0.125
0.500 0.500 0.500
0.750 0.750 0.750
```



Entry 12:
ScP2: relaxed, PBE-GGA.

POSCAR file:
```
ScP2
1.0
1.681 4.232 -0.014
-1.681 4.232 -0.014
0.000 1.099 3.493
Sc P
1 2
Direct
0.500 0.500 0.500
0.149 0.149 0.927
0.851 0.851 0.073
```



Formation energy from the elements, record by record: -2.37; -1.54; -1.80; -2.76; -2.43; -2.40; -2.36; -2.60; -0.90; -2.09; 0.51; -2.11 eV/f.u.
VASP energy, record by record: -81.76; -51.88; -26.20; -41.67; -26.84; -40.95; -39.03; -41.36; -93.85; -38.49; -35.13; -19.26 eV/cell
DOS(E_F), record by record: 13.52; 9.30; 3.31; 7.20; 5.48; 4.96; 1.64; 5.96; 7.73; 1.76; 7.30; 1.07 states/eV/cell